{"formula": "NaLiPt3", "functional": "SCAN", "state": "PBEsol geometry", "cell": [[-3.4496, -2.7400, 1.3674], [3.0572, -3.1989, 1.3028], [0.1744, 1.8806, 4.2083]], "species": ["Pt", "Pt", "Li", "Pt", "Na"], "frac_coords": [[0.5000, 0.0000, 0.0000], [0.0000, 0.5000, 0.0000], [0.5000, 0.5000, 0.5000], [0.0000, 0.0000, 0.5000], [0.0000, 0.0000, 0.0000]], "formation_energy_ev_per_atom": 1.298, "spacegroup": "Pm-3m, No. 221", "magnetic_moment_mub_per_fu": 0.00, "dos_at_fermi_per_ev_cell": 6.02}



{"formula": "NaLi2Pt2", "functional": "SCAN", "state": "PBEsol geometry", "cell": [[2.6222, 0.0000, 0.0000], [0.0000, 7.6792, 0.0000], [0.0000, 0.0000, 7.6792]], "species": ["Pt", "Li", "Pt", "Li", "Pt", "Li", "Na", "Na", "Li", "Pt"], "frac_coords": [[0.5000, 0.6693, 0.8307], [0.0000, 0.1241, 0.3759], [0.5000, 0.1693, 0.6693], [0.0000, 0.3759, 0.8759], [0.5000, 0.3307, 0.1693], [0.0000, 0.6241, 0.1241], [0.0000, 0.0000, 0.0000], [0.0000, 0.5000, 0.5000], [0.0000, 0.8759, 0.6241], [0.5000, 0.8307, 0.3307]], "formation_energy_ev_per_atom": -0.465, "polymorph_energy_mev_per_atom": 0, "spacegroup": "P4/mbm, No. 127", "magnetic_moment_mub_per_fu": 0.00, "dos_at_fermi_per_ev_cell": 5.80}



{"formula": "Na3LiPt", "functional": "SCAN", "state": "PBEsol geometry", "cell": [[5.4391, 0.0000, 0.0000], [0.0000, 5.4391, 0.0000], [0.0000, 0.0000, 5.4391]], "species": ["Na", "Na", "Pt", "Li", "Na"], "frac_coords": [[0.5000, 0.0000, 0.0000], [0.0000, 0.5000, 0.0000], [0.0000, 0.0000, 0.0000], [0.5000, 0.5000, 0.5000], [0.0000, 0.0000, 0.5000]], "formation_energy_ev_per_atom": 0.108, "spacegroup": "Pm-3m, No. 221", "magnetic_moment_mub_per_fu": 0.00, "dos_at_fermi_per_ev_cell": 1.58}



{"formula": "NaLi2SbPt", "functional": "SCAN", "state": "PBEsol geometry", "cell": [[-2.9320, 1.1557, 2.9119], [1.1051, -3.3504, 2.4424], [3.4912, 2.8807, 2.3719]], "species": ["Sb", "Li", "Pt", "Na", "Li"], "frac_coords": [[0.0000, 0.0000, 0.5000], [0.0000, 0.5000, 0.0000], [0.5000, 0.5000, 0.5000], [0.0000, 0.0000, 0.0000], [0.5000, 0.0000, 0.0000]], "e_form_raw_ev_per_atom": 0.49, "spacegroup": "P4/mmm, No. 123", "magnetic_moment_mub_per_fu": 0.00, "dos_at_fermi_per_ev_cell": 1.23}